Record 1
{"formula": "ScTi3N", "functional": "meta-GGA SCAN", "state": "PBEsol geometry", "cell": [[4.200, 0.000, 0.000], [0.000, 4.200, 0.000], [0.000, 0.000, 4.200]], "species": ["Sc", "Ti", "Ti", "Ti", "N"], "fractional_positions": [[0.000, 0.000, 0.000], [0.000, 0.500, 0.500], [0.500, 0.000, 0.500], [0.500, 0.500, 0.000], [0.500, 0.500, 0.500]], "crystal_system": "cubic", "formation_energy_uncorrected_kj_per_mol_atoms": -70.7, "total_energy_ev_per_atom": -15.0568}

=====

Record 2
{"formula": "TaIn2As", "functional": "meta-GGA SCAN", "state": "PBEsol geometry", "cell": [[-1.993, 1.993, 4.909], [1.993, -1.993, 4.909], [1.993, 1.993, -4.909]], "species": ["Ta", "In", "In", "As"], "fractional_positions": [[0.000, 0.000, 0.000], [0.250, 0.750, 0.500], [0.750, 0.250, 0.500], [0.500, 0.500, 0.000]], "crystal_system": "tetragonal", "formation_enthalpy_0k_ev_per_atom": 0.36, "total_energy_ev_per_atom": -38.0287}

=====

Record 3
{"formula": "ScCd3", "functional": "meta-GGA SCAN", "state": "PBEsol geometry", "cell": [[5.009, -1.573, 0.000], [5.009, 1.573, 0.000], [-1.225, 0.000, 5.300]], "species": ["Sc", "Cd", "Cd", "Cd"], "fractional_positions": [[0.000, 0.000, 0.000], [0.247, 0.247, 0.748], [0.500, 0.500, 0.500], [0.753, 0.753, 0.252]], "crystal_system": "monoclinic", "formation_enthalpy_0k_ev_per_atom": -0.18, "total_energy_ev_per_atom": -26.5458}

=====

Record 4
{"formula": "Cr2CoRu", "functional": "meta-GGA SCAN", "state": "PBEsol geometry", "cell": [[3.584, 0.000, 0.000], [0.000, 3.584, 0.000], [0.000, 0.000, 3.556]], "species": ["Cr", "Cr", "Co", "Ru"], "fractional_positions": [[0.000, 0.500, 0.000], [0.500, 0.000, 0.000], [0.000, 0.000, 0.500], [0.500, 0.500, 0.500]], "crystal_system": "tetragonal", "formation_enthalpy_0k_ev_per_atom": 0.15, "total_energy_ev_per_atom": -22.0762}